Here is a relaxed LiMn2P3O10 crystal from Alexandria. Energies are from GGA+U.

Crystal system: monoclinic
Energy above the lowest structure with this stoichiometry, eV per atom: 0.043
ρ, Mg/m³: 2.6
Total moment, μB per atom: 0.62
Fermi-level density of states, states/eV/atom: 0.000
Energy, eV/atom: -7.31

a = 9.072 Å, b = 9.072 Å, c = 12.045 Å
α = 43.73°, β = 43.73°, γ = 57.44°
Fractional coordinates of all 32 atoms:
Li 0.834 0.166 0.250
Li 0.166 0.834 0.750
Mn 0.205 0.664 0.585
Mn 0.664 0.205 0.085
Mn 0.336 0.795 0.915
Mn 0.795 0.336 0.415
P 0.255 0.355 0.071
P 0.672 0.328 0.750
P 0.355 0.255 0.571
P 0.645 0.745 0.429
P 0.745 0.645 0.929
P 0.328 0.672 0.250
O 0.747 0.223 0.660
O 0.734 0.648 0.327
O 0.223 0.747 0.160
O 0.043 0.255 0.211
O 0.253 0.777 0.340
O 0.266 0.352 0.673
O 0.777 0.253 0.840
O 0.957 0.745 0.789
O 0.352 0.266 0.173
O 0.773 0.400 0.045
O 0.584 0.701 0.090
O 0.745 0.957 0.289
O 0.400 0.773 0.545
O 0.299 0.416 0.410
O 0.701 0.584 0.590
O 0.600 0.227 0.455
O 0.255 0.043 0.711
O 0.416 0.299 0.910
O 0.227 0.600 0.955
O 0.648 0.734 0.827